First-principles (PBE) data for a relaxed structure of ZnHgMo2Pt, as listed in Alexandria.

Values from the calculation:
The formation energy from the elements comes out at 1.4843 eV/atom.

Lattice parameters (Å, degrees): 4.9103 5.1586 4.9103 90.00 90.00 90.00
With the nearest neighbours (Å) after each atom.
Atoms (fractional coordinates):
Mo1 0.5000 0.0000 0.0000  2 Pt 2.46
Mo2 0.0000 0.0000 0.5000  2 Pt 2.46
Hg1 0.0000 0.5000 0.0000  2 Pt 2.58
Zn1 0.5000 0.5000 0.5000  4 Hg 3.47, 8 Mo 3.56
Pt1 0.0000 0.0000 0.0000  4 Mo 2.46, 2 Hg 2.58